The following is a DFT calculation (meta-GGA SCAN) of a crystal of TaCu3 relaxed with PBEsol.

Calculated values
- Density of states at the Fermi level: 0.53 states/eV per atom
- DFT formation energy: 0.301 eV/f.u.
- Symmetry: P4/mmm, No. 123

Lattice parameters (Å, degrees): 2.697 2.697 7.084 90.00 90.00 90.00
Element x y z (fractional)
Ta (0.000, 0.000, 0.000)
Cu (0.000, 0.000, 0.500)
Cu (0.500, 0.500, 0.276)
Cu (0.500, 0.500, 0.724)